The following is a DFT calculation (GGA-PBEsol) of an optimized crystal structure of Sc5NCl8.

CIF file:
```
data_Sc5NCl8
_chemical_formula_sum 'Sc10 N2 Cl16'
_symmetry_space_group_name_H-M 'C 1 2/m 1'
_symmetry_Int_Tables_number 12
_cell_length_a 17.738
_cell_length_b 3.446
_cell_length_c 11.937
_cell_angle_alpha 90.00
_cell_angle_beta 130.18
_cell_angle_gamma 90.00
loop_
_symmetry_equiv_pos_as_xyz
'x,y,z'
'-x,-y,-z'
'-x,y,-z'
'x,-y,z'
'x+1/2,y+1/2,z'
'-x+1/2,-y+1/2,-z'
'-x+1/2,y+1/2,-z'
'x+1/2,-y+1/2,z'
loop_
_atom_site_label
_atom_site_type_symbol
_atom_site_fract_x
_atom_site_fract_y
_atom_site_fract_z
Sc1 Sc 0.000 0.000 0.000
Sc2 Sc 0.011 0.500 0.388
Sc3 Sc 0.159 0.000 0.670
N1 N 0.000 0.000 0.500
Cl1 Cl 0.027 0.000 0.236
Cl2 Cl 0.134 0.500 0.108
Cl3 Cl 0.172 0.500 0.835
Cl4 Cl 0.198 0.500 0.561
```

Computed properties:
* magnetization: 0.000 μB per formula unit
* crystal system: monoclinic
* raw total energy: -6.129 eV per atom
* Fermi-level density of states: 0.287 states/eV per atom

=====

The following is a DFT calculation (GGA-PBEsol) of an optimized crystal structure of ZnIr2Rh.

CIF file:
```
data_ZnIr2Rh
_chemical_formula_sum 'Zn2 Ir4 Rh2'
_symmetry_space_group_name_H-M 'C 1 2/m 1'
_symmetry_Int_Tables_number 12
_cell_length_a 8.879
_cell_length_b 2.712
_cell_length_c 4.634
_cell_angle_alpha 90.00
_cell_angle_beta 99.99
_cell_angle_gamma 90.00
loop_
_symmetry_equiv_pos_as_xyz
'x,y,z'
'-x,-y,-z'
'-x,y,-z'
'x,-y,z'
'x+1/2,y+1/2,z'
'-x+1/2,-y+1/2,-z'
'-x+1/2,y+1/2,-z'
'x+1/2,-y+1/2,z'
loop_
_atom_site_label
_atom_site_type_symbol
_atom_site_fract_x
_atom_site_fract_y
_atom_site_fract_z
Zn1 Zn 0.000 0.000 0.000
Ir1 Ir 0.248 0.000 0.748
Rh1 Rh 0.000 0.500 0.500
```

Computed properties:
* energy of formation from the pure elements: -100 meV/atom
* magnetization: 0.000 μB per formula unit
* crystal system: monoclinic
* raw total energy: -7.441 eV per atom
* Fermi-level density of states: 0.903 states/eV per atom

=====

The following is a DFT calculation (GGA-PBEsol) of an optimized crystal structure of RbNbTeO6.

CIF file:
```
data_RbNbTeO6
_chemical_formula_sum 'Rb4 Nb4 Te4 O24'
_symmetry_space_group_name_H-M 'I m m a'
_symmetry_Int_Tables_number 74
_symmetry_space_group_name_Hall '-I 2b 2'
_cell_length_a 7.247
_cell_length_b 7.382
_cell_length_c 10.359
_cell_angle_alpha 90.00
_cell_angle_beta 90.00
_cell_angle_gamma 90.00
loop_
_atom_site_label
_atom_site_type_symbol
_atom_site_fract_x
_atom_site_fract_y
_atom_site_fract_z
Rb1 Rb 0.000 0.250 0.126
Nb1 Nb 0.000 0.000 0.500
Te1 Te 0.250 0.250 0.750
O1 O 0.000 0.250 0.435
O2 O 0.000 0.250 0.822
O3 O 0.197 0.063 0.628
```

Computed properties:
* magnetization: 0.000 μB per formula unit
* crystal system: orthorhombic
* raw total energy: -7.052 eV per atom
* Fermi-level density of states: 0.000 states/eV per atom

=====

The following is a DFT calculation (GGA-PBEsol) of an optimized crystal structure of BaYRh2.

CIF file:
```
data_BaYRh2
_chemical_formula_sum 'Ba2 Y2 Rh4'
_symmetry_space_group_name_H-M 'C 1 m 1'
_symmetry_Int_Tables_number 8
_cell_length_a 10.862
_cell_length_b 3.227
_cell_length_c 5.233
_cell_angle_alpha 90.00
_cell_angle_beta 102.37
_cell_angle_gamma 90.00
loop_
_symmetry_equiv_pos_as_xyz
'x,y,z'
'x,-y,z'
'x+1/2,y+1/2,z'
'x+1/2,-y+1/2,z'
loop_
_atom_site_label
_atom_site_type_symbol
_atom_site_fract_x
_atom_site_fract_y
_atom_site_fract_z
Ba1 Ba 0.000 0.000 0.000
Y1 Y 0.205 0.000 0.606
Rh1 Rh 0.271 0.500 0.220
Rh2 Rh 0.462 0.000 0.485
```

Computed properties:
* energy of formation from the pure elements: -52 meV/atom
* magnetization: 0.001 μB per formula unit
* crystal system: monoclinic
* raw total energy: -6.364 eV per atom
* Fermi-level density of states: 0.995 states/eV per atom

=====

The following is a DFT calculation (GGA-PBEsol) of an optimized crystal structure of KTlTeH2.

CIF file:
```
data_KTlTeH2
_chemical_formula_sum 'K1 Tl1 Te1 H2'
_symmetry_space_group_name_H-M 'P 4/m m m'
_symmetry_Int_Tables_number 123
_symmetry_space_group_name_Hall '-P 4 2'
_cell_length_a 4.321
_cell_length_b 4.321
_cell_length_c 7.210
_cell_angle_alpha 90.00
_cell_angle_beta 90.00
_cell_angle_gamma 90.00
loop_
_atom_site_label
_atom_site_type_symbol
_atom_site_fract_x
_atom_site_fract_y
_atom_site_fract_z
K1 K 0.000 0.000 0.000
Tl1 Tl 0.000 0.000 0.500
Te1 Te 0.500 0.500 0.000
H1 H 0.000 0.500 0.500
```

Computed properties:
* magnetization: 0.007 μB per formula unit
* crystal system: tetragonal
* raw total energy: -2.368 eV per atom
* Fermi-level density of states: 0.894 states/eV per atom

=====

The following is a DFT calculation (GGA-PBEsol) of an optimized crystal structure of As3PPd.

CIF file:
```
data_As3PPd
_chemical_formula_sum 'As3 P1 Pd1'
_symmetry_space_group_name_H-M 'P m -3 m'
_symmetry_Int_Tables_number 221
_symmetry_space_group_name_Hall '-P 4 2 3'
_cell_length_a 4.620
_cell_length_b 4.620
_cell_length_c 4.620
_cell_angle_alpha 90.00
_cell_angle_beta 90.00
_cell_angle_gamma 90.00
loop_
_atom_site_label
_atom_site_type_symbol
_atom_site_fract_x
_atom_site_fract_y
_atom_site_fract_z
As1 As 0.000 0.000 0.500
P1 P 0.000 0.000 0.000
Pd1 Pd 0.500 0.500 0.500
```

Computed properties:
* energy of formation from the pure elements: 770 meV/atom
* magnetization: 0.000 μB per formula unit
* crystal system: cubic
* raw total energy: -4.644 eV per atom
* Fermi-level density of states: 0.532 states/eV per atom